This record from Alexandria describes AcCePr14 after structural relaxation. The functional is GGA-PBE.

Lattice parameters (Å, degrees): 7.440 7.440 10.537 90.00 90.00 90.00
Last column: magnetic moment on the atom in μB.
Sites, in units of the cell vectors:
Ac: 0.375 0.625 0.000  0.00
Ce: 0.875 0.125 0.000  0.86
Pr: 0.375 0.625 0.500  0.00
Pr: 0.875 0.125 0.500  -0.01
Pr: 0.875 0.625 0.000  0.02
Pr: 0.875 0.625 0.500  0.00
Pr: 0.375 0.125 0.000  0.02
Pr: 0.375 0.125 0.500  0.00
Pr: 0.629 0.879 0.750  0.01
Pr: 0.629 0.879 0.250  0.01
Pr: 0.121 0.371 0.750  0.01
Pr: 0.121 0.371 0.250  0.01
Pr: 0.121 0.879 0.750  0.01
Pr: 0.121 0.879 0.250  0.01
Pr: 0.629 0.371 0.750  0.01
Pr: 0.629 0.371 0.250  0.01

Computed properties:
Symmetry = P4/mmm (123)

=====

This record from Alexandria describes Ac3CePr12 after structural relaxation. The functional is GGA-PBE.

Lattice parameters (Å, degrees): 5.308 5.308 21.205 90.00 90.00 90.00
Last column: magnetic moment on the atom in μB.
Sites, in units of the cell vectors:
Ac: 0.000 0.000 0.247  -0.01
Ac: 0.000 0.000 0.500  0.00
Ac: 0.000 0.000 0.753  -0.01
Ce: 0.000 0.000 0.000  0.77
Pr: 0.500 0.500 0.000  0.01
Pr: 0.500 0.500 0.247  0.00
Pr: 0.500 0.500 0.500  0.00
Pr: 0.500 0.500 0.753  0.00
Pr: 0.500 0.000 0.118  0.00
Pr: 0.500 0.000 0.373  0.00
Pr: 0.500 0.000 0.627  0.00
Pr: 0.500 0.000 0.882  0.00
Pr: 0.000 0.500 0.118  0.00
Pr: 0.000 0.500 0.373  0.00
Pr: 0.000 0.500 0.627  0.00
Pr: 0.000 0.500 0.882  0.00

Computed properties:
Symmetry = P4/mmm (123)

=====

This record from Alexandria describes AcCePr after structural relaxation. The functional is GGA-PBE.

Lattice parameters (Å, degrees): 3.717 3.717 8.285 102.96 102.96 90.00
Last column: magnetic moment on the atom in μB.
Sites, in units of the cell vectors:
Pr: 0.322 0.322 0.644  -0.01
Ac: 0.008 0.008 0.016  0.00
Ce: 0.670 0.670 0.340  0.43

Computed properties:
Energy relative to the lowest polymorph listed for this composition = 0.0282 eV/atom
Symmetry = I4mm (107)

=====

no.,formation energy from the elements (eV per atom),total energy (eV/atom)
1,0.034,-4.776
2,0.033,-4.693
3,0.109,-4.831